No. 1
VASP calculation (GGA-PBE) on a geometry-optimized La3Sm2Ge4 structure.

a = 8.260 Å, b = 8.132 Å, c = 7.954 Å
α = 90.00°, β = 111.81°, γ = 90.00°
Space group P2_1/c (No. 14)
Inequivalent atoms, fractional coordinates:
La  0.000  0.000  0.000
La  0.301  0.183  0.432
Sm  0.265  0.664  0.273
Ge  0.005  0.123  0.618
Ge  0.416  0.539  0.674

**DOS at the Fermi energy**: 6.987 states/eV/f.u.
**Electronic total energy**: -5.58 eV per atom
**Crystal system**: monoclinic
**Total magnetic moment**: 0.00 μB/cell

No. 2
VASP calculation (GGA-PBE) on a geometry-optimized TaSiSe2 structure.

a = 3.3455 Å, b = 3.3455 Å, c = 26.6729 Å
α = 90.00°, β = 90.00°, γ = 120.00°
Space group R-3m (No. 166, hexagonal axes)
Inequivalent atoms, fractional coordinates:
Ta  0.0000  0.0000  0.0000
Si  0.0000  0.0000  0.5000
Se  0.0000  0.0000  0.3988

**Formation energy from raw total energies**: -0.19 eV/atom
**DOS at the Fermi energy**: 1.842 states/eV/f.u.
**Electronic total energy**: -6.25 eV per atom
**Crystal system**: trigonal
**Total magnetic moment**: 0.00 μB/cell

No. 3
VASP calculation (GGA-PBE) on a geometry-optimized CsRbRuO4 structure.

a = 5.900 Å, b = 6.462 Å, c = 8.582 Å
α = 90.00°, β = 105.62°, γ = 90.00°
Space group P2_1/m (No. 11)
Inequivalent atoms, fractional coordinates:
Cs  0.155  0.250  0.122
Rb  0.211  0.750  0.516
Ru  0.394  0.250  0.739
O  0.269  0.021  0.799
O  0.290  0.750  0.198
O  0.305  0.250  0.518

**Formation energy from raw total energies**: -1.31 eV/atom
**Electronic total energy**: -5.73 eV per atom
**Crystal system**: monoclinic
**Total magnetic moment**: 4.00 μB/cell

No. 4
VASP calculation (GGA-PBE) on a geometry-optimized MgTeSe2 structure.

a = 5.605 Å, b = 5.605 Å, c = 15.569 Å
α = 90.00°, β = 90.00°, γ = 90.00°
Space group I-42d (No. 122)
Inequivalent atoms, fractional coordinates:
Mg  0.000  0.000  0.000
Te  0.000  0.000  0.500
Se  0.232  0.250  0.125

**Formation energy from raw total energies**: -0.25 eV/atom
**DOS at the Fermi energy**: 0.200 states/eV/f.u.
**Electronic total energy**: -3.18 eV per atom
**E above lowest polymorph**: 0.93 eV per formula unit
**Crystal system**: tetragonal
**Total magnetic moment**: 0.00 μB/cell

No. 5
VASP calculation (GGA-PBE) on a geometry-optimized Ba2LaTlOs structure.

a = 6.552 Å, b = 6.552 Å, c = 4.872 Å
α = 90.00°, β = 90.00°, γ = 90.00°
Space group P4/mmm (No. 123)
Inequivalent atoms, fractional coordinates:
Ba  0.000  0.500  0.000
La  0.000  0.000  0.000
Tl  0.500  0.500  0.500
Os  0.000  0.000  0.500

**DOS at the Fermi energy**: 6.787 states/eV/f.u.
**Electronic total energy**: -3.75 eV per atom
**Crystal system**: tetragonal
**Total magnetic moment**: 0.00 μB/cell

No. 6
VASP calculation (GGA-PBE) on a geometry-optimized MgTaOs2 structure.

a = 8.923 Å, b = 3.035 Å, c = 4.938 Å
α = 90.00°, β = 106.21°, γ = 90.00°
Space group C2/m (No. 12)
Inequivalent atoms, fractional coordinates:
Mg  0.000  0.000  0.000
Ta  0.000  0.500  0.500
Os  0.240  0.000  0.745

**DOS at the Fermi energy**: 2.840 states/eV/f.u.
**Electronic total energy**: -8.85 eV per atom
**Crystal system**: monoclinic
**Total magnetic moment**: 0.00 μB/cell

No. 7
VASP calculation (GGA-PBE) on a geometry-optimized KZr2Ru structure.

a = 4.892 Å, b = 4.892 Å, c = 3.549 Å
α = 90.00°, β = 90.00°, γ = 90.00°
Space group P4/mmm (No. 123)
Inequivalent atoms, fractional coordinates:
K  0.000  0.000  0.000
Zr  0.000  0.500  0.500
Ru  0.500  0.500  0.000

**DOS at the Fermi energy**: 4.014 states/eV/f.u.
**Electronic total energy**: -6.03 eV per atom
**E above lowest polymorph**: 2.77 eV per formula unit
**Crystal system**: tetragonal
**Total magnetic moment**: 0.00 μB/cell

No. 8
VASP calculation (GGA-PBE) on a geometry-optimized CePuAlZn structure.

a = 7.213 Å, b = 7.213 Å, c = 7.213 Å
α = 90.00°, β = 90.00°, γ = 90.00°
Space group F-43m (No. 216)
Inequivalent atoms, fractional coordinates:
Ce  0.000  0.000  0.000
Pu  0.000  0.000  0.500
Al  0.250  0.250  0.750
Zn  0.250  0.250  0.250

**DOS at the Fermi energy**: 9.939 states/eV/f.u.
**Electronic total energy**: -6.45 eV per atom
**E above lowest polymorph**: 0.14 eV per formula unit
**Crystal system**: cubic
**Total magnetic moment**: 23.36 μB/cell

no.,density (g/cm³)
1,6.75
2,7.07
3,4.04
4,4.21
5,6.42
6,15.15
7,6.31
8,8.44